# 1
Computed, not measured: an optimized crystal structure of SrTaW2 at the GGA-PBE level of DFT.

abc: 5.0163 5.0163 18.2925
angles: 90.00 90.00 90.00
Closest atoms and distances in Å follow each position.
Space group I4_1/amd (No. 141, origin choice 2)
Inequivalent atoms, fractional coordinates:
1 Sr 0.0000 0.2500 0.3750  4 Ta 3.55, 8 W 3.62
2 Ta 0.0000 0.2500 0.8750  4 W 2.61
3 W 0.0000 0.0000 0.0000  2 W 2.51, 2 Ta 2.61

ΔE to the lowest computed polymorph: 882 meV per atom
total moment: 0.00 μB/cell
ΔE_f: 1.58 eV/atom
V: 460 Å³ per cell
Fermi-level density of states: 5.01 states/eV/f.u.

# 2
Computed, not measured: an optimized crystal structure of CuC3 at the GGA-PBE level of DFT.

abc: 3.8262 3.8262 3.8262
angles: 90.00 90.00 90.00
Closest atoms and distances in Å follow each position.
Space group Pm-3m (No. 221)
Inequivalent atoms, fractional coordinates:
1 Cu 0.0000 0.0000 0.0000  6 C 1.91
2 C 0.0000 0.0000 0.5000  2 Cu 1.91

ΔE to the lowest computed polymorph: 3125 meV per atom
total moment: 0.00 μB/cell
ΔE_f: 3.73 eV/atom
V: 56 Å³ per cell
Fermi-level density of states: 2.90 states/eV/f.u.

# 3
Computed, not measured: an optimized crystal structure of Pm7Al2Hg2 at the GGA-PBE level of DFT.

abc: 7.8028 11.0467 8.0061
angles: 90.00 90.00 90.00
Closest atoms and distances in Å follow each position.
Space group Cmmm (No. 65)
Inequivalent atoms, fractional coordinates:
1 Pm 0.0000 0.0000 0.0000  2 Hg 3.22
2 Pm 0.0000 0.5000 0.2742  2 Al 3.17, 2 Hg 3.18, 4 Pm 3.38
3 Pm 0.2500 0.2500 0.2942  2 Hg 3.09, 2 Al 3.28, 3 Pm 3.30-3.38
4 Al 0.1664 0.0000 0.5000  1 Al 2.60
5 Hg 0.0000 0.2913 0.0000  7 Pm 3.09-3.22

total moment: 0.00 μB/cell
ΔE_f: -0.05 eV/atom
V: 690 Å³ per cell
Fermi-level density of states: 14.40 states/eV/f.u.

# 4
Computed, not measured: an optimized crystal structure of K3Na3CrBr8 at the GGA-PBE level of DFT.

abc: 15.0919 8.7031 9.0717
angles: 90.00 123.73 90.00
Closest atoms and distances in Å follow each position.
Space group C2/m (No. 12)
Inequivalent atoms, fractional coordinates:
1 K 0.0000 0.0000 0.0000  6 Br 3.27-3.29
2 K 0.2500 0.2500 0.0000  6 Br 3.28-3.29
3 Na 0.0000 0.5000 0.5000  6 Br 3.02-3.05
4 Na 0.2500 0.2500 0.5000  6 Br 3.02-3.06
5 Cr 0.0000 0.0000 0.5000  6 Br 2.72
6 Br 0.0077 0.2245 0.2988  1 Cr 2.72
7 Br 0.2167 0.0000 0.7013  1 Cr 2.72
8 Br 0.2407 0.5000 0.7219  3 Na 3.02, 3 K 3.27-3.28

total moment: 8.00 μB/cell
ΔE_f (raw): -1.426 eV per atom
V: 991 Å³ per cell
Fermi-level density of states: 6.30 states/eV/f.u.

# 5
Computed, not measured: an optimized crystal structure of CePmPdRu at the GGA-PBE level of DFT.

abc: 4.0186 3.8776 11.6716
angles: 90.00 90.00 90.00
Closest atoms and distances in Å follow each position.
Space group Amm2 (No. 38)
Inequivalent atoms, fractional coordinates:
1 Ce 0.0000 0.0000 0.0000  4 Ru 2.82, 2 Pd 3.15
2 Pm 0.5000 0.0000 0.7207  4 Pd 2.90, 1 Ru 2.96
3 Pd 0.0000 0.0000 0.2871  4 Pm 2.90, 2 Ru 2.91, 2 Ce 3.15
4 Ru 0.5000 0.0000 0.4672  4 Ce 2.82, 2 Pd 2.91, 1 Pm 2.96

ΔE to the lowest computed polymorph: 0 meV per atom
total moment: 0.00 μB/cell
ΔE_f: -0.55 eV/atom
V: 182 Å³ per cell
Fermi-level density of states: 3.70 states/eV/f.u.

# 6
Computed, not measured: an optimized crystal structure of RbLa2Rh at the GGA-PBE level of DFT.

abc: 4.2573 4.2573 35.0998
angles: 90.00 90.00 120.00
Closest atoms and distances in Å follow each position.
Space group R-3m (No. 166, hexagonal axes)
Inequivalent atoms, fractional coordinates:
1 Rb 0.0000 0.0000 0.0000  6 Rb 4.26, 2 La 4.36
2 La 0.0000 0.0000 0.1241  3 Rh 2.88
3 Rh 0.0000 0.0000 0.5000  6 La 2.88

ΔE to the lowest computed polymorph: 0 meV per atom
total moment: 0.00 μB/cell
ΔE_f: -0.32 eV/atom
V: 551 Å³ per cell
Fermi-level density of states: 4.19 states/eV/f.u.

# 7
Computed, not measured: an optimized crystal structure of MnAg2Hg at the GGA-PBE level of DFT.

abc: 9.6248 3.1354 4.9911
angles: 90.00 102.73 90.00
Closest atoms and distances in Å follow each position.
Space group Cm (No. 8)
Inequivalent atoms, fractional coordinates:
1 Mn 0.0000 0.0000 0.0000  7 Ag 2.85-2.99, 3 Hg 2.87-2.97, 2 Mn 3.14
2 Ag 0.0030 0.5000 0.5102  5 Ag 2.89-3.14, 4 Mn 2.91-2.98, 3 Hg 2.93-2.99
3 Ag 0.2574 0.0000 0.7562  3 Mn 2.85-2.99, 5 Ag 2.89-3.14, 4 Hg 2.92-2.98
4 Hg 0.2452 0.5000 0.2440  3 Mn 2.87-2.97, 7 Ag 2.92-2.99, 2 Hg 3.14

total moment: 8.24 μB/cell
ΔE_f: 0.22 eV/atom
V: 147 Å³ per cell
Fermi-level density of states: 1.70 states/eV/f.u.

# 8
Computed, not measured: an optimized crystal structure of LiTb6Te8 at the GGA-PBE level of DFT.

abc: 12.3179 12.3179 12.3179
angles: 90.00 90.00 90.00
Closest atoms and distances in Å follow each position.
Space group Fm-3m (No. 225)
Inequivalent atoms, fractional coordinates:
1 Li 0.0000 0.0000 0.0000  6 Te 3.07
2 Tb 0.0000 0.2500 0.2500  6 Te 3.08
3 Te 0.0000 0.0000 0.2490  1 Li 3.07, 4 Tb 3.08
4 Te 0.2500 0.2500 0.2500  6 Tb 3.08

total moment: 0.00 μB/cell
ΔE_f (raw): -1.343 eV per atom
V: 1869 Å³ per cell
Fermi-level density of states: 4.36 states/eV/f.u.

# 9
Computed, not measured: an optimized crystal structure of CrP2Au at the GGA-PBE level of DFT.

abc: 2.8666 3.4132 12.4969
angles: 90.00 90.00 90.00
Closest atoms and distances in Å follow each position.
Space group Imm2 (No. 44)
Inequivalent atoms, fractional coordinates:
1 Cr 0.0000 0.0000 0.0000  6 P 2.30-2.35
2 P 0.0000 0.0000 0.4402  4 Cr 2.35, 2 Au 2.61
3 P 0.0000 0.5000 0.6438  2 Cr 2.30
4 Au 0.0000 0.5000 0.2818  6 P 2.61-2.82, 2 Au 2.87

ΔE to the lowest computed polymorph: 39 meV per atom
total moment: 0.00 μB/cell
ΔE_f: 0.05 eV/atom
V: 122 Å³ per cell
Fermi-level density of states: 2.11 states/eV/f.u.

# 10
Computed, not measured: an optimized crystal structure of YTl3Cu at the GGA-PBE level of DFT.

abc: 5.1566 5.1566 5.1566
angles: 90.00 90.00 90.00
Closest atoms and distances in Å follow each position.
Space group Pm-3m (No. 221)
Inequivalent atoms, fractional coordinates:
1 Y 0.0000 0.0000 0.0000  12 Tl 3.65
2 Tl 0.0000 0.5000 0.5000  2 Cu 2.58
3 Cu 0.5000 0.5000 0.5000  6 Tl 2.58

ΔE to the lowest computed polymorph: 0 meV per atom
total moment: 0.00 μB/cell
ΔE_f: 0.17 eV/atom
V: 137 Å³ per cell
Fermi-level density of states: 3.07 states/eV/f.u.

# 11
Computed, not measured: an optimized crystal structure of Ce7SbI12 at the GGA-PBE level of DFT.

abc: 16.2936 16.2936 10.8012
angles: 90.00 90.00 120.00
Closest atoms and distances in Å follow each position.
Space group R-3 (No. 148, hexagonal axes)
Inequivalent atoms, fractional coordinates:
1 Ce 0.0000 0.0000 0.0000  6 I 3.22
2 Ce 0.0504 0.8792 0.3336  1 Sb 3.06, 5 I 3.21-3.28
3 Sb 0.0000 0.0000 0.5000  6 Ce 3.06
4 I 0.0250 0.4346 0.1677  3 Ce 3.23-3.28
5 I 0.0544 0.8668 0.8412  3 Ce 3.21-3.23

total moment: 28.75 μB/cell
ΔE_f (raw): -1.208 eV per atom
V: 2483 Å³ per cell
Fermi-level density of states: 57.58 states/eV/f.u.

# 12
Computed, not measured: an optimized crystal structure of Sc3TcO at the GGA-PBE level of DFT.

abc: 11.4837 4.3813 7.1404
angles: 90.00 104.46 90.00
Closest atoms and distances in Å follow each position.
Space group C2/m (No. 12)
Inequivalent atoms, fractional coordinates:
1 Sc 0.0791 0.0000 0.2093  1 O 2.15
2 Sc 0.1370 0.5000 0.5179  3 O 2.20-2.24
3 Sc 0.2007 0.0000 0.8346  1 O 2.27
4 Tc 0.0615 0.5000 0.8738  1 Tc 2.55, 4 Sc 2.70-2.77
5 O 0.1758 0.0000 0.5089  5 Sc 2.15-2.27

ΔE to the lowest computed polymorph: 84 meV per atom
total moment: 0.00 μB/cell
ΔE_f (raw): -1.239 eV per atom
V: 348 Å³ per cell
Fermi-level density of states: 2.75 states/eV/f.u.